# 1
A plane-wave DFT calculation with PBE was carried out for CuH2Pd after structural relaxation.

```
CuH2Pd
1.0
1.4223 0.8211 4.9410
-1.4223 0.8211 4.9410
0.0000 -1.6423 4.9410
Cu H Pd
1 2 1
Direct
0.0000 0.0000 0.0000
0.2154 0.2154 0.2154
0.3907 0.3907 0.3907
0.8226 0.8226 0.8226
```

Calculated values
- magnetic moment (μB/cell) = 0.000
- volume (Å³ per atom) = 8.7
- relative energy among the computed polymorphs (meV/atom) = 83
- electronic total energy (eV per atom) = -3.910

***

# 2
A plane-wave DFT calculation with PBE was carried out for Dy2HoTm2Sc2 after structural relaxation.

```
Dy2HoTm2Sc2
1.0
5.6046 -1.6978 0.0000
5.6046 1.6978 0.0000
-3.6765 0.0000 10.8265
Dy Ho Tm Sc
2 1 2 2
Direct
0.1713 0.1713 0.0874
0.8287 0.8287 0.9126
0.5000 0.5000 0.5000
0.0482 0.0482 0.7686
0.9518 0.9518 0.2314
0.2728 0.2728 0.6344
0.7272 0.7272 0.3656
```

Calculated values
- magnetic moment (μB/cell) = 0.007
- volume (Å³ per atom) = 29.4
- energy of formation from the pure elements (eV/atom) = 0.11
- electronic total energy (eV per atom) = -4.947

***

# 3
A plane-wave DFT calculation with PBE was carried out for Ti3ReTc after structural relaxation.

```
Ti3ReTc
1.0
4.5632 0.0000 0.0000
0.0000 4.5632 0.0000
0.0000 0.0000 4.5632
Ti Re Tc
3 1 1
Direct
0.0000 0.0000 0.5000
0.0000 0.5000 0.0000
0.5000 0.0000 0.0000
0.5000 0.5000 0.5000
0.0000 0.0000 0.0000
```

Calculated values
- magnetic moment (μB/cell) = 0.557
- volume (Å³ per atom) = 19.0
- relative energy among the computed polymorphs (meV/atom) = 1359
- energy of formation from the pure elements (eV/atom) = 0.98
- electronic total energy (eV per atom) = -8.316